The following is a PBE calculation of an optimized crystal structure of AlReW2, from Alexandria via LeMat-Bulk.

Properties
ΔH_f (0 K): 0.142 eV/atom
D(E_F): 2.80 states/eV/f.u.
final energy: -10.382 eV/atom
volume: 15.6 Å³/atom
magnetization: 0.000 Bohr magnetons per cell
space-group type: No. 119

```
AlReW2
1.0
-1.968 1.968 4.017
1.968 -1.968 4.017
1.968 1.968 -4.017
Al Re W
1 1 2
direct
0.000 0.000 0.000
0.250 0.750 0.500
0.500 0.500 0.000
0.750 0.250 0.500
```



The following is a PBE calculation of an optimized crystal structure of AlReW2, from Alexandria via LeMat-Bulk.

Properties
ΔH_f (0 K): -0.025 eV/atom
D(E_F): 2.23 states/eV/f.u.
final energy: -10.550 eV/atom
volume: 15.4 Å³/atom
magnetization: 0.000 Bohr magnetons per cell
space-group type: No. 44

```
AlReW2
1.0
-1.582 2.206 4.404
1.582 -2.206 4.404
1.582 2.206 -4.404
Al Re W
1 1 2
direct
0.000 0.000 0.000
0.251 0.751 0.500
0.495 0.495 0.000
0.741 0.241 0.500
```



The following is a PBE calculation of an optimized crystal structure of AlReW2, from Alexandria via LeMat-Bulk.

Properties
ΔH_f (0 K): 0.134 eV/atom
D(E_F): 2.73 states/eV/f.u.
final energy: -10.391 eV/atom
volume: 15.6 Å³/atom
magnetization: 0.000 Bohr magnetons per cell
space-group type: No. 65

```
AlReW2
1.0
2.700 -4.114 0.000
2.700 4.114 0.000
0.000 0.000 2.802
Al Re W
1 1 2
direct
0.000 0.000 0.000
0.500 0.500 0.000
0.000 0.500 0.500
0.500 0.000 0.500
```